Record 1
LiLaTbS3: optimized geometry, PBE.

Unit cell a=8.208 b=3.916 c=8.555 alpha=90.00 beta=103.01 gamma=90.00
Element x y z (fractional)
1 Li 0.088 0.250 0.085
2 Li 0.912 0.750 0.915
3 La 0.186 0.250 0.723
4 La 0.814 0.750 0.277
5 Tb 0.336 0.750 0.337
6 Tb 0.664 0.250 0.663
7 S 0.101 0.250 0.365
8 S 0.211 0.750 0.002
9 S 0.431 0.750 0.671
10 S 0.569 0.250 0.329
11 S 0.789 0.250 0.998
12 S 0.899 0.750 0.635

Calculated values
SG: P2_1/m (11)
Uncorrected formation energy: -1.89 eV/atom
Calculated total energy: -5.87 eV per atom

Record 2
Co5Ge6Ir: optimized geometry, PBE.

Unit cell a=5.748 b=5.748 c=4.957 alpha=98.34 beta=98.34 gamma=96.40
Element x y z (fractional)
1 Co 0.000 0.000 0.000
2 Co 0.168 0.832 0.500
3 Co 0.337 0.663 0.000
4 Co 0.663 0.337 0.000
5 Co 0.832 0.168 0.500
6 Ge 0.072 0.414 0.245
7 Ge 0.241 0.241 0.755
8 Ge 0.414 0.072 0.245
9 Ge 0.586 0.928 0.755
10 Ge 0.759 0.759 0.245
11 Ge 0.928 0.586 0.755
12 Ir 0.500 0.500 0.500

Calculated values
SG: C2/m (12)
Calculated total energy: -6.03 eV per atom

Record 3
CePm3Sm6Y2: optimized geometry, PBE.

Unit cell a=6.272 b=6.272 c=12.018 alpha=95.01 beta=95.01 gamma=120.00
Element x y z (fractional)
1 Ce 0.000 0.000 0.000
2 Pm 0.167 0.833 0.500
3 Pm 0.500 0.500 0.500
4 Pm 0.833 0.167 0.500
5 Sm 0.083 0.413 0.248
6 Sm 0.248 0.248 0.752
7 Sm 0.413 0.083 0.248
8 Sm 0.587 0.917 0.752
9 Sm 0.752 0.752 0.248
10 Sm 0.917 0.587 0.752
11 Y 0.333 0.667 0.000
12 Y 0.667 0.333 0.000

Calculated values
SG: C2/m (12)
Calculated total energy: -5.08 eV per atom

Record 4
CeTmCoNi: optimized geometry, PBE.

Unit cell a=4.740 b=4.740 c=4.740 alpha=60.00 beta=60.00 gamma=60.00
Element x y z (fractional)
1 Ce 0.000 0.000 0.000
2 Tm 0.500 0.500 0.500
3 Co 0.750 0.750 0.750
4 Ni 0.250 0.250 0.250

Calculated values
SG: F-43m (216)
Calculated total energy: -6.06 eV per atom

Record 5
La2TcTeW: optimized geometry, PBE.

Unit cell a=5.898 b=5.898 c=4.802 alpha=90.00 beta=90.00 gamma=90.00
Element x y z (fractional)
1 La 0.000 0.500 0.000
2 La 0.500 0.000 0.000
3 Tc 0.000 0.000 0.500
4 Te 0.000 0.000 0.000
5 W 0.500 0.500 0.500

Calculated values
SG: P4/mmm (123)
Uncorrected formation energy: 1.26 eV/atom
Calculated total energy: -6.00 eV per atom

Record 6
K2BaTc: optimized geometry, PBE.

Unit cell a=14.425 b=14.425 c=14.425 alpha=160.10 beta=160.10 gamma=28.29
Element x y z (fractional)
1 K 0.100 0.625 0.975
2 K 0.375 0.350 0.475
3 K 0.650 0.125 0.025
4 K 0.875 0.900 0.525
5 Ba 0.250 0.750 0.500
6 Ba 0.500 0.500 0.000
7 Tc 0.000 0.000 0.000
8 Tc 0.750 0.250 0.500

Calculated values
SG: I-42d (122)
Distance to the lowest polymorph of the same formula: 21.3 kJ per mole of atoms
Calculated total energy: -2.53 eV per atom

Number 1: M_tot 0.00 μB per atom. Number 2: M_tot 0.11 μB per atom. Number 3: M_tot 0.11 μB per atom. Number 4: M_tot 0.00 μB per atom. Number 5: M_tot 0.75 μB per atom. Number 6: M_tot 0.70 μB per atom.